1.
Tb2HoEr4 | PBE | relaxed

Lattice parameters (Å, degrees): 3.5453 3.5453 19.8081 90.00 90.00 120.00
With the nearest neighbours (Å) after each atom.
Space group P3m1 (No. 156)
Symmetry-distinct sites (fractional):
Tb  0.0000  0.0000  0.0000 x1  6 Er 3.49-3.51, 6 Tb 3.55
Tb  0.0000  0.0000  0.2858 x1  6 Er 3.50, 6 Tb 3.55
Ho  0.0000  0.0000  0.5704 x1  6 Er 3.47-3.49, 6 Ho 3.55
Er  0.3333  0.6667  0.1427 x1  6 Tb 3.49-3.50, 6 Er 3.55
Er  0.3333  0.6667  0.8558 x1  9 Er 3.49-3.55, 3 Tb 3.51
Er  0.6667  0.3333  0.4290 x1  3 Ho 3.47, 3 Tb 3.50, 6 Er 3.55
Er  0.6667  0.3333  0.7132 x1  9 Er 3.49-3.55, 3 Ho 3.49

Output
Its distance to the lowest polymorph of the same formula is 0.0 meV per atom. As for the formation enthalpy at 0 K: 4 meV per atom.


2.
Tb6HoEr3 | PBE | relaxed

Lattice parameters (Å, degrees): 9.6010 20.8515 6.3255 90.00 90.00 90.00
With the nearest neighbours (Å) after each atom.
Space group Cmc2_1 (No. 36)
Symmetry-distinct sites (fractional):
Tb  0.0000  0.0156  0.0000 x4  4 Tb 3.23-3.56, 1 Ho 3.26, 4 Er 3.51-3.54
Tb  0.0000  0.3007  0.9681 x4  1 Er 3.13, 1 Ho 3.26, 2 Tb 3.40
Tb  0.1761  0.2809  0.5066 x8  2 Er 3.25-3.39, 3 Tb 3.38-3.55, 2 Ho 3.55-3.61
Tb  0.1812  0.4402  0.7492 x8  3 Er 3.32-3.51, 4 Tb 3.48-3.66
Ho  0.0000  0.1605  0.1951 x4  6 Tb 3.26-3.61, 2 Er 3.48
Er  0.0000  0.4192  0.2724 x4  3 Tb 3.13-3.41, 2 Er 3.38
Er  0.1686  0.1262  0.6693 x8  2 Er 3.24-3.38, 5 Tb 3.25-3.54, 1 Ho 3.48

Output
Its distance to the lowest polymorph of the same formula is 0.0 meV per atom. As for the formation enthalpy at 0 K: 126 meV per atom.


3.
TbHo4Er | PBE | relaxed

Lattice parameters (Å, degrees): 3.5156 4.9819 10.5430 90.00 90.26 90.00
With the nearest neighbours (Å) after each atom.
Space group P2/m (No. 10)
Symmetry-distinct sites (fractional):
Tb  0.0000  0.0000  0.0000 x1  2 Tb 3.52, 10 Ho 3.52-3.53
Ho  0.9999  0.0000  0.3341 x2  7 Ho 3.50-3.52, 4 Er 3.51-3.52, 1 Tb 3.52
Ho  0.4999  0.5000  0.1676 x2  1 Er 3.50, 7 Ho 3.51-3.53, 4 Tb 3.52-3.53
Er  0.5000  0.5000  0.5000 x1  10 Ho 3.50-3.52, 2 Er 3.52

Output
Its distance to the lowest polymorph of the same formula is 16.3 meV per atom. As for the formation enthalpy at 0 K: 19 meV per atom.


4.
TbHo6Er3 | PBE | relaxed

Lattice parameters (Å, degrees): 10.8956 18.7719 6.1250 90.00 90.00 90.00
With the nearest neighbours (Å) after each atom.
Space group Cmc2_1 (No. 36)
Symmetry-distinct sites (fractional):
Tb  0.0000  0.2075  0.0000 x4  3 Er 3.22-3.46, 7 Ho 3.26-3.42
Ho  0.0000  0.0478  0.2329 x4  1 Tb 3.32, 4 Er 3.49-3.58, 2 Ho 3.55
Ho  0.0000  0.2838  0.5078 x4  4 Ho 3.22-3.34, 1 Er 3.30, 2 Tb 3.34-3.42
Ho  0.1644  0.4538  0.6185 x8  4 Er 3.36-3.55, 6 Ho 3.38-3.72
Ho  0.2494  0.2901  0.7896 x8  5 Ho 3.22-3.41, 2 Er 3.24-3.55, 2 Tb 3.26-3.38
Er  0.0000  0.3899  0.0792 x4  5 Ho 3.30-3.55, 1 Tb 3.46, 2 Er 3.65
Er  0.1714  0.1089  0.6955 x8  1 Tb 3.22, 6 Ho 3.24-3.58

Output
Its distance to the lowest polymorph of the same formula is 24.3 meV per atom. As for the formation enthalpy at 0 K: 149 meV per atom.


5.
Tb5HoEr5 | PBE | relaxed

Lattice parameters (Å, degrees): 6.8129 6.8967 8.2607 75.92 76.73 72.21
With the nearest neighbours (Å) after each atom.
Space group P-1 (No. 2)
Symmetry-distinct sites (fractional):
Tb  0.0000  0.0000  0.0000 x1  6 Er 3.31-3.41, 2 Ho 3.45, 2 Tb 3.68
Tb  0.1555  0.1340  0.3583 x2  2 Tb 3.35-3.38, 7 Er 3.42-3.69, 1 Ho 3.52
Tb  0.3238  0.2709  0.6537 x2  7 Er 3.27-3.55, 1 Tb 3.35, 1 Ho 3.57
Ho  0.0000  0.5000  0.0000 x1  6 Tb 3.45-3.57, 4 Er 3.48-3.65
Er  0.2101  0.6396  0.3107 x2  7 Tb 3.35-3.56, 1 Er 3.35, 1 Ho 3.65
Er  0.3532  0.7494  0.7215 x2  7 Tb 3.31-3.69, 2 Er 3.35-3.65, 1 Ho 3.48
Er  0.5000  0.0000  0.0000 x1  6 Tb 3.27-3.46, 2 Er 3.65

Output
Its distance to the lowest polymorph of the same formula is 0.0 meV per atom. As for the formation enthalpy at 0 K: 150 meV per atom.


6.
TbHoEr5 | PBE | relaxed

Lattice parameters (Å, degrees): 11.5435 6.6661 12.0583 90.00 110.15 90.00
With the nearest neighbours (Å) after each atom.
Space group C2/c (No. 15)
Symmetry-distinct sites (fractional):
Tb  0.0000  0.0281  0.2500 x4  3 Er 2.95-3.26
Ho  0.2500  0.2500  0.0000 x4  4 Er 3.20-3.55
Er  0.0000  0.4147  0.7500 x4  1 Tb 2.95, 2 Er 2.95
Er  0.0784  0.2677  0.5007 x8  4 Er 3.25-3.59, 1 Tb 3.26
Er  0.2197  0.3619  0.2466 x8  2 Er 2.95-3.25, 1 Ho 3.20

Output
Its distance to the lowest polymorph of the same formula is 0.0 meV per atom. As for the formation enthalpy at 0 K: 201 meV per atom.


7.
Tb4Ho6Er | PBE | relaxed

Lattice parameters (Å, degrees): 7.5135 7.5135 13.1016 90.00 90.00 90.00
With the nearest neighbours (Å) after each atom.
Space group I-42m (No. 121)
Symmetry-distinct sites (fractional):
Tb  0.1691  0.1691  0.4226 x8  3 Ho 2.97-3.19, 2 Tb 3.25
Ho  0.0000  0.5000  0.0000 x4  4 Tb 2.97
Ho  0.2371  0.2371  0.1851 x8  1 Tb 3.19, 1 Er 3.50
Er  0.0000  0.0000  0.0000 x2  8 Ho 3.50-3.76, 4 Tb 3.66

Output
Its distance to the lowest polymorph of the same formula is 319.8 meV per atom. As for the formation enthalpy at 0 K: 449 meV per atom.


8.
Tb2Ho3Er8 | PBE | relaxed

Lattice parameters (Å, degrees): 14.6195 9.0364 6.7432 90.00 108.59 90.00
With the nearest neighbours (Å) after each atom.
Space group C2/m (No. 12)
Symmetry-distinct sites (fractional):
Tb  0.2133  0.0000  0.4215 x4  7 Er 3.30-3.47, 3 Ho 3.49-3.67
Ho  0.0000  0.0000  0.0000 x2  6 Er 3.09-3.37
Ho  0.0000  0.1728  0.5000 x4  1 Ho 3.12, 4 Er 3.37-3.43
Er  0.0836  0.5000  0.7263 x4  6 Er 3.25-3.59, 2 Ho 3.37, 1 Tb 3.42
Er  0.1171  0.3186  0.1782 x8  5 Er 3.28-3.59, 2 Ho 3.37-3.43, 2 Tb 3.39-3.44
Er  0.1905  0.0000  0.8931 x4  1 Ho 3.09, 1 Tb 3.30, 2 Er 3.42

Output
Its distance to the lowest polymorph of the same formula is 0.0 meV per atom. As for the formation enthalpy at 0 K: 229 meV per atom.


So what do the calculations give for total DFT energy (no corrections)? Going down the list: -4.580; -4.479; -4.565; -4.429; -4.445; -4.374; -4.146; -4.348 eV per atom.